Material: Ti2Zn5Cu
Method: DFT, PBE-GGA
State: optimized geometry

Cell and atoms, written as extended XYZ:
```
8
Lattice="-1.9806 1.9806 7.4881 1.9806 -1.9806 7.4881 1.9806 1.9806 -7.4881" Properties=species:S:1:pos:R:3 pbc="T T T"
Ti 0.0000 0.0000 3.6954
Ti 0.0000 0.0000 11.2808
Zn 1.9806 0.0000 1.7746
Zn 1.9806 0.0000 5.7135
Zn 0.0000 0.0000 7.4881
Zn 0.0000 1.9806 1.7746
Zn 0.0000 1.9806 5.7135
Cu 0.0000 0.0000 0.0000
```

Values from the calculation:
**Formation energy from the elements**: -0.1454 eV per atom
**Total magnetic moment**: 0.621 μB/cell
**Space-group type**: I4/mmm
**DOS(E_F)**: 4.83 states/eV/f.u.